# 1
A plane-wave DFT calculation with GGA+U was carried out for a relaxed Na3WO4 crystal.

Values from the calculation:
symmetry = No. 31

Cell: 5.700 6.098 7.596 Å, 90.00 90.00 90.00°
Fractional coordinates of all 16 atoms:
O (0.098, 0.288, 0.219)
O (0.612, 0.124, 0.500)
O (0.598, 0.712, 0.719)
O (0.173, 0.781, 0.500)
O (0.098, 0.288, 0.781)
O (0.673, 0.219, 0.000)
O (0.112, 0.876, 0.000)
O (0.598, 0.712, 0.281)
Na (0.008, 0.663, 0.756)
Na (0.508, 0.337, 0.744)
Na (0.508, 0.337, 0.256)
Na (0.518, 0.850, 0.000)
Na (0.018, 0.150, 0.500)
Na (0.008, 0.663, 0.244)
W (0.500, 0.831, 0.500)
W (0.000, 0.169, 0.000)

# 2
A plane-wave DFT calculation with GGA+U was carried out for a relaxed Na2W3O10 crystal.

Values from the calculation:
Fermi-level density of states = 0.0 states/eV/f.u.
symmetry = No. 12

Cell: 6.022 8.419 9.628 Å, 109.61 108.22 90.00°
Fractional coordinates of all 30 atoms:
O (0.374, 0.482, 0.289)
O (0.794, 0.500, 0.000)
O (0.516, 0.159, 0.031)
O (0.000, 0.000, 0.500)
O (0.084, 0.518, 0.711)
O (0.136, 0.768, 0.272)
O (0.765, 0.742, 0.530)
O (0.484, 0.841, 0.969)
O (0.235, 0.258, 0.470)
O (0.669, 0.973, 0.784)
O (0.981, 0.836, 0.961)
O (0.864, 0.232, 0.728)
O (0.115, 0.973, 0.784)
O (0.885, 0.027, 0.216)
O (0.206, 0.500, 0.000)
O (0.019, 0.164, 0.039)
O (0.500, 0.000, 0.500)
O (0.626, 0.518, 0.711)
O (0.331, 0.027, 0.216)
O (0.916, 0.482, 0.289)
Na (0.409, 0.375, 0.818)
Na (0.591, 0.625, 0.182)
Na (0.724, 0.439, 0.447)
Na (0.276, 0.561, 0.553)
W (0.751, 0.000, 0.000)
W (0.093, 0.535, 0.186)
W (0.907, 0.465, 0.814)
W (0.810, 0.965, 0.620)
W (0.190, 0.035, 0.380)
W (0.249, 0.000, 0.000)

# 3
A plane-wave DFT calculation with GGA+U was carried out for a relaxed NaWO4 crystal.

Values from the calculation:
symmetry = No. 2

Cell: 6.238 7.175 8.837 Å, 110.54 97.15 101.87°
Fractional coordinates of all 24 atoms:
O (0.171, 0.819, 0.351)
O (0.189, 0.769, 0.020)
O (0.420, 0.463, 0.176)
O (0.013, 0.958, 0.814)
O (0.811, 0.231, 0.980)
O (0.987, 0.042, 0.186)
O (0.418, 0.031, 0.740)
O (0.829, 0.181, 0.649)
O (0.580, 0.537, 0.824)
O (0.356, 0.246, 0.438)
O (0.170, 0.606, 0.681)
O (0.588, 0.860, 0.909)
O (0.644, 0.754, 0.562)
O (0.830, 0.394, 0.319)
O (0.582, 0.969, 0.260)
O (0.412, 0.140, 0.091)
Na (0.230, 0.277, 0.699)
Na (0.251, 0.546, 0.415)
Na (0.749, 0.454, 0.585)
Na (0.770, 0.723, 0.301)
W (0.740, 0.147, 0.149)
W (0.721, 0.001, 0.737)
W (0.260, 0.853, 0.851)
W (0.279, 0.999, 0.263)

# 4
A plane-wave DFT calculation with GGA+U was carried out for a relaxed NaW2O6 crystal.

Values from the calculation:
Fermi-level density of states = 2.5 states/eV/f.u.
symmetry = No. 12

Cell: 3.904 5.348 7.217 Å, 69.63 74.31 68.59°
Fractional coordinates of all 9 atoms:
O (0.698, 0.663, 0.940)
O (0.327, 0.707, 0.638)
O (0.302, 0.337, 0.060)
O (0.991, 0.840, 0.177)
O (0.009, 0.160, 0.823)
O (0.673, 0.293, 0.362)
W (0.823, 0.232, 0.122)
W (0.177, 0.768, 0.878)
Na (0.000, 0.500, 0.500)

# 5
A plane-wave DFT calculation with GGA+U was carried out for a relaxed Na3W4O12 crystal.

Values from the calculation:
Fermi-level density of states = 0.7 states/eV/f.u.
symmetry = No. 8

Cell: 6.781 6.781 11.089 Å, 90.14 90.14 70.29°
Fractional coordinates of all 38 atoms:
W (0.751, 0.249, 0.748)
W (0.998, 0.501, 0.502)
W (0.249, 0.751, 0.748)
W (0.249, 0.751, 0.252)
W (0.502, 0.999, 0.998)
W (0.999, 0.502, 0.998)
W (0.501, 0.998, 0.502)
W (0.751, 0.249, 0.252)
O (0.171, 0.602, 0.607)
O (0.147, 0.581, 0.864)
O (0.828, 0.402, 0.391)
O (0.365, 0.914, 0.636)
O (0.246, 0.246, 0.474)
O (0.629, 0.088, 0.359)
O (0.333, 0.891, 0.894)
O (0.474, 0.474, 0.238)
O (0.862, 0.414, 0.140)
O (0.755, 0.755, 0.523)
O (0.983, 0.983, 0.747)
O (0.104, 0.670, 0.108)
O (0.602, 0.171, 0.607)
O (0.914, 0.365, 0.636)
O (0.670, 0.104, 0.108)
O (0.255, 0.255, 0.029)
O (0.891, 0.333, 0.894)
O (0.744, 0.744, 0.975)
O (0.023, 0.023, 0.260)
O (0.520, 0.520, 0.754)
O (0.581, 0.147, 0.864)
O (0.414, 0.862, 0.140)
O (0.402, 0.828, 0.391)
O (0.088, 0.629, 0.359)
Na (0.999, 0.999, 0.998)
Na (0.249, 0.249, 0.252)
Na (0.499, 0.499, 0.998)
Na (0.749, 0.749, 0.253)
Na (0.251, 0.251, 0.747)
Na (0.502, 0.502, 0.503)

# 6
A plane-wave DFT calculation with GGA+U was carried out for a relaxed Na3WO4 crystal.

Values from the calculation:
Fermi-level density of states = 0.0 states/eV/f.u.
symmetry = No. 13

Cell: 5.518 5.814 6.682 Å, 90.00 90.00 109.92°
Fractional coordinates of all 16 atoms:
Na (0.250, 0.500, 0.386)
Na (0.250, 0.500, 0.875)
Na (0.750, 0.000, 0.381)
Na (0.750, 0.500, 0.125)
Na (0.750, 0.500, 0.614)
Na (0.250, 0.000, 0.619)
W (0.250, 0.000, 0.133)
W (0.750, 0.000, 0.867)
O (0.455, 0.221, 0.336)
O (0.545, 0.779, 0.664)
O (0.999, 0.196, 0.096)
O (0.045, 0.779, 0.336)
O (0.955, 0.221, 0.664)
O (0.501, 0.804, 0.096)
O (0.499, 0.196, 0.904)
O (0.001, 0.804, 0.904)

# 7
A plane-wave DFT calculation with GGA+U was carried out for a relaxed Na5W7O21 crystal.

Values from the calculation:
Fermi-level density of states = 0.0 states/eV/f.u.
symmetry = No. 12

Cell: 11.803 11.803 6.812 Å, 78.72 78.72 27.53°
Fractional coordinates of all 33 atoms:
O (0.293, 0.775, 0.650)
O (0.154, 0.637, 0.063)
O (0.358, 0.358, 0.422)
O (0.923, 0.438, 0.214)
O (0.000, 0.500, 0.500)
O (0.500, 0.500, 0.000)
O (0.562, 0.077, 0.786)
O (0.775, 0.293, 0.650)
O (0.438, 0.923, 0.214)
O (0.363, 0.846, 0.937)
O (0.707, 0.225, 0.350)
O (0.225, 0.707, 0.350)
O (0.642, 0.642, 0.578)
O (0.213, 0.213, 0.861)
O (0.500, 0.000, 0.500)
O (0.637, 0.154, 0.063)
O (0.077, 0.562, 0.786)
O (0.846, 0.363, 0.937)
O (0.071, 0.071, 0.289)
O (0.787, 0.787, 0.139)
O (0.929, 0.929, 0.711)
Na (0.714, 0.714, 0.856)
Na (0.286, 0.286, 0.144)
Na (0.429, 0.429, 0.715)
Na (0.571, 0.571, 0.285)
Na (0.000, 0.000, 0.000)
W (0.285, 0.285, 0.640)
W (0.000, 0.000, 0.500)
W (0.572, 0.572, 0.785)
W (0.428, 0.428, 0.215)
W (0.856, 0.856, 0.927)
W (0.715, 0.715, 0.360)
W (0.144, 0.144, 0.073)

# 8
A plane-wave DFT calculation with GGA+U was carried out for a relaxed Na7W9O27 crystal.

Values from the calculation:
symmetry = No. 1

Cell: 6.855 8.849 9.704 Å, 100.87 90.00 104.98°
Fractional coordinates of all 43 atoms:
Na (0.550, 0.669, 0.779)
Na (0.112, 0.329, 0.555)
Na (0.334, 0.006, 0.666)
Na (0.224, 0.666, 0.106)
Na (0.442, 0.329, 0.222)
Na (0.894, 0.668, 0.446)
Na (0.997, 0.003, 0.000)
W (0.391, 0.669, 0.442)
W (0.501, 0.004, 0.001)
W (0.610, 0.332, 0.555)
W (0.276, 0.334, 0.888)
W (0.166, 0.000, 0.334)
W (0.721, 0.664, 0.109)
W (0.833, 0.002, 0.667)
W (0.944, 0.332, 0.222)
W (0.055, 0.666, 0.778)
O (0.226, 0.680, 0.617)
O (0.056, 0.164, 0.794)
O (0.281, 0.832, 0.395)
O (0.398, 0.167, 0.440)
O (0.536, 0.654, 0.274)
O (0.156, 0.510, 0.348)
O (0.613, 0.823, 0.549)
O (0.486, 0.500, 0.499)
O (0.072, 0.174, 0.279)
O (0.343, 0.998, 0.165)
O (0.024, 0.011, 0.512)
O (0.494, 0.498, 0.993)
O (0.615, 0.828, 0.052)
O (0.827, 0.507, 0.166)
O (0.937, 0.837, 0.723)
O (0.728, 0.157, 0.102)
O (0.647, 0.984, 0.832)
O (0.432, 0.321, 0.715)
O (0.387, 0.163, 0.953)
O (0.120, 0.350, 0.069)
O (0.890, 0.669, 0.938)
O (0.957, 0.835, 0.224)
O (0.831, 0.499, 0.652)
O (0.172, 0.500, 0.825)
O (0.727, 0.162, 0.613)
O (0.773, 0.337, 0.378)
O (0.278, 0.833, 0.899)

# 9
A plane-wave DFT calculation with GGA+U was carried out for a relaxed Na2WO3 crystal.

Values from the calculation:
Fermi-level density of states = 0.0 states/eV/f.u.
symmetry = No. 12

Cell: 3.272 4.304 5.803 Å, 111.77 105.86 90.00°
Fractional coordinates of all 6 atoms:
Na (0.831, 0.321, 0.642)
Na (0.169, 0.679, 0.358)
O (0.148, 0.131, 0.263)
O (0.500, 0.500, 0.000)
O (0.852, 0.869, 0.737)
W (0.500, 0.000, 0.000)

# 10
A plane-wave DFT calculation with GGA+U was carried out for a relaxed NaWO3 crystal.

Values from the calculation:
Fermi-level density of states = 6.3 states/eV/f.u.
symmetry = No. 221

Cell: 3.803 3.803 3.803 Å, 90.00 90.00 90.00°
Fractional coordinates of all 5 atoms:
O (0.500, 0.000, 0.000)
O (0.000, 0.000, 0.500)
O (0.000, 0.500, 0.000)
Na (0.000, 0.000, 0.000)
W (0.500, 0.500, 0.500)

# 11
A plane-wave DFT calculation with GGA+U was carried out for a relaxed Na4W9O27 crystal.

Values from the calculation:
Fermi-level density of states = 2.6 states/eV/f.u.
symmetry = No. 12

Cell: 9.593 9.593 11.732 Å, 65.84 65.84 33.35°
Fractional coordinates of all 40 atoms:
O (0.331, 0.832, 0.279)
O (0.004, 0.497, 0.170)
O (0.826, 0.336, 0.944)
O (0.996, 0.503, 0.830)
O (0.166, 0.668, 0.387)
O (0.334, 0.334, 0.278)
O (0.500, 0.000, 0.500)
O (0.000, 0.000, 0.500)
O (0.834, 0.332, 0.613)
O (0.664, 0.174, 0.056)
O (0.000, 0.500, 0.500)
O (0.337, 0.337, 0.946)
O (0.668, 0.166, 0.387)
O (0.999, 0.999, 0.834)
O (0.332, 0.834, 0.613)
O (0.666, 0.666, 0.722)
O (0.503, 0.996, 0.830)
O (0.174, 0.664, 0.056)
O (0.336, 0.826, 0.944)
O (0.669, 0.168, 0.721)
O (0.334, 0.334, 0.606)
O (0.497, 0.004, 0.170)
O (0.832, 0.331, 0.279)
O (0.001, 0.001, 0.166)
O (0.168, 0.669, 0.721)
O (0.666, 0.666, 0.394)
O (0.663, 0.663, 0.054)
W (0.332, 0.332, 0.110)
W (0.332, 0.332, 0.779)
W (0.668, 0.668, 0.890)
W (0.001, 0.001, 0.333)
W (0.666, 0.666, 0.556)
W (0.668, 0.668, 0.221)
W (0.334, 0.334, 0.444)
W (0.000, 0.000, 0.000)
W (0.999, 0.999, 0.667)
Na (0.831, 0.831, 0.614)
Na (0.500, 0.500, 0.167)
Na (0.169, 0.169, 0.386)
Na (0.500, 0.500, 0.833)

# 12
A plane-wave DFT calculation with GGA+U was carried out for a relaxed NaW4O12 crystal.

Values from the calculation:
Fermi-level density of states = 2.4 states/eV/f.u.
symmetry = No. 204

Cell: 6.725 6.725 6.725 Å, 109.47 109.47 109.47°
Fractional coordinates of all 17 atoms:
O (0.751, 0.754, 0.505)
O (0.246, 0.495, 0.249)
O (0.997, 0.751, 0.246)
O (0.246, 0.997, 0.751)
O (0.754, 0.505, 0.751)
O (0.495, 0.249, 0.246)
O (0.754, 0.003, 0.249)
O (0.505, 0.751, 0.754)
O (0.751, 0.246, 0.997)
O (0.003, 0.249, 0.754)
O (0.249, 0.246, 0.495)
O (0.249, 0.754, 0.003)
Na (0.000, 0.000, 0.000)
W (0.500, 0.000, 0.000)
W (0.500, 0.500, 0.500)
W (0.000, 0.500, 0.000)
W (0.000, 0.000, 0.500)

no.,total moment (μB/atom),uncorrected energy (eV per atom)
1,0.125,-5.686
2,0.000,-6.830
3,0.165,-6.361
4,0.111,-6.946
5,0.158,-6.872
6,0.125,-5.766
7,0.152,-6.894
8,0.116,-6.863
9,0.333,-5.911
10,0.200,-4.267
11,0.040,-7.113
12,0.038,-7.286